Compound: CrHgF2
Source: the Alexandria database
Functional: PBE+U
Structure: optimized geometry

Unit cell a=3.1638 b=3.1638 c=24.7712 alpha=90.00 beta=90.00 gamma=120.00
Last column: nearest neighbours and their distance in Å.
Fractional coordinates of all 12 atoms:
Cr 0.0000 0.0000 0.0000  2 F 1.89
Cr 0.3333 0.6667 0.6667  2 F 1.89
Cr 0.6667 0.3333 0.3333  2 F 1.89
Hg 0.0000 0.0000 0.5000  6 F 2.89, 6 Hg 3.16
Hg 0.3333 0.6667 0.1667  6 F 2.89, 6 Hg 3.16
Hg 0.6667 0.3333 0.8333  6 F 2.89, 6 Hg 3.16
F 0.0000 0.0000 0.0764  1 Cr 1.89
F 0.0000 0.0000 0.9236  1 Cr 1.89
F 0.3333 0.6667 0.5903  1 Cr 1.89
F 0.3333 0.6667 0.7431  1 Cr 1.89
F 0.6667 0.3333 0.2569  1 Cr 1.89
F 0.6667 0.3333 0.4097  1 Cr 1.89

Properties
Distance to the lowest polymorph of the same formula: 1.68 eV per formula unit
Calculated volume: 214.7 Å³/cell